1.
Ag3HgAu4: relaxed, PBE-GGA.

CIF file:
```
data_Ag3HgAu4
_symmetry_space_group_name_H-M 'C 1 2/m 1'
_symmetry_Int_Tables_number 12
_cell_length_a 20.283
_cell_length_b 4.887
_cell_length_c 3.052
_cell_angle_alpha 90.00
_cell_angle_beta 98.59
_cell_angle_gamma 90.00
loop_
_symmetry_equiv_pos_as_xyz
'x,y,z'
'-x,-y,-z'
'-x,y,-z'
'x,-y,z'
'x+1/2,y+1/2,z'
'-x+1/2,-y+1/2,-z'
'-x+1/2,y+1/2,-z'
'x+1/2,-y+1/2,z'
loop_
_atom_site_label
_atom_site_type_symbol
_atom_site_fract_x
_atom_site_fract_y
_atom_site_fract_z
Ag1 Ag 0.000 0.000 0.000
Ag2 Ag 0.244 0.000 0.244
Hg1 Hg 0.000 0.500 0.500
Au1 Au 0.123 0.000 0.624
Au2 Au 0.135 0.500 0.136
```

Computed properties:
Total magnetization: 0.0 μB/f.u.
Crystal system: monoclinic
Energy of formation from the pure elements: 0.2 eV/f.u.

=====

2.
Tl2TeF2: relaxed, PBE-GGA.

CIF file:
```
data_Tl2TeF2
_symmetry_space_group_name_H-M 'P 4/m b m'
_symmetry_Int_Tables_number 127
_symmetry_space_group_name_Hall '-P 4 2ab'
_cell_length_a 8.694
_cell_length_b 8.694
_cell_length_c 3.101
_cell_angle_alpha 90.00
_cell_angle_beta 90.00
_cell_angle_gamma 90.00
loop_
_atom_site_label
_atom_site_type_symbol
_atom_site_fract_x
_atom_site_fract_y
_atom_site_fract_z
Tl1 Tl 0.138 0.362 0.000
Te1 Te 0.000 0.000 0.500
F1 F 0.111 0.611 0.500
```

Computed properties:
Total magnetization: 0.0 μB/f.u.
Crystal system: tetragonal
Formation energy from raw total energies: -1.07 eV per atom

=====

3.
Cs2SiBBr6: relaxed, PBE-GGA.

CIF file:
```
data_Cs2SiBBr6
_symmetry_space_group_name_H-M 'I 4/m m m'
_symmetry_Int_Tables_number 139
_symmetry_space_group_name_Hall '-I 4 2'
_cell_length_a 7.589
_cell_length_b 7.589
_cell_length_c 10.472
_cell_angle_alpha 90.00
_cell_angle_beta 90.00
_cell_angle_gamma 90.00
loop_
_atom_site_label
_atom_site_type_symbol
_atom_site_fract_x
_atom_site_fract_y
_atom_site_fract_z
Cs1 Cs 0.000 0.500 0.250
Si1 Si 0.000 0.000 0.000
B1 B 0.000 0.000 0.500
Br1 Br 0.000 0.000 0.250
Br2 Br 0.243 0.243 0.000
```

Computed properties:
Total magnetization: 0.0 μB/f.u.
Crystal system: tetragonal
Formation energy from raw total energies: -0.62 eV per atom

=====

4.
SrAcTl: relaxed, PBE-GGA.

CIF file:
```
data_SrAcTl
_symmetry_space_group_name_H-M 'P 63/m m c'
_symmetry_Int_Tables_number 194
_symmetry_space_group_name_Hall '-P 6c 2c'
_cell_length_a 5.8914
_cell_length_b 5.8914
_cell_length_c 7.5283
_cell_angle_alpha 90.00
_cell_angle_beta 90.00
_cell_angle_gamma 120.00
loop_
_atom_site_label
_atom_site_type_symbol
_atom_site_fract_x
_atom_site_fract_y
_atom_site_fract_z
Sr1 Sr 0.0000 0.0000 0.0000
Ac1 Ac 0.3333 0.6667 0.2500
Tl1 Tl 0.3333 0.6667 0.7500
```

Computed properties:
Total magnetization: 0.0 μB/f.u.
Crystal system: hexagonal
Energy of formation from the pure elements: -0.9 eV/f.u.

=====

5.
K2Hg13: relaxed, PBE-GGA.

CIF file:
```
data_K2Hg13
_symmetry_space_group_name_H-M 'R -3 m'
_symmetry_Int_Tables_number 166
_symmetry_space_group_name_Hall '-R 3 2"'
_cell_length_a 8.5470
_cell_length_b 8.5470
_cell_length_c 25.0234
_cell_angle_alpha 90.00
_cell_angle_beta 90.00
_cell_angle_gamma 120.00
loop_
_atom_site_label
_atom_site_type_symbol
_atom_site_fract_x
_atom_site_fract_y
_atom_site_fract_z
K1 K 0.0000 0.0000 0.1408
Hg1 Hg 0.0000 0.0000 0.0000
Hg2 Hg 0.0840 0.5420 0.4065
Hg3 Hg 0.0891 0.5446 0.2782
```

Computed properties:
Total magnetization: 0.0 μB/f.u.
Crystal system: trigonal
Energy of formation from the pure elements: -1.3 eV/f.u.

=====

6.
LiZrNi2: relaxed, PBE-GGA.

CIF file:
```
data_LiZrNi2
_symmetry_space_group_name_H-M 'I -4 m 2'
_symmetry_Int_Tables_number 119
_symmetry_space_group_name_Hall 'I -4 -2'
_cell_length_a 3.727
_cell_length_b 3.727
_cell_length_c 7.984
_cell_angle_alpha 90.00
_cell_angle_beta 90.00
_cell_angle_gamma 90.00
loop_
_atom_site_label
_atom_site_type_symbol
_atom_site_fract_x
_atom_site_fract_y
_atom_site_fract_z
Li1 Li 0.000 0.000 0.000
Zr1 Zr 0.000 0.500 0.250
Ni1 Ni 0.000 0.000 0.500
Ni2 Ni 0.000 0.500 0.750
```

Computed properties:
Total magnetization: 0.0 μB/f.u.
Crystal system: tetragonal
Energy of formation from the pure elements: -0.8 eV/f.u.